The following is a DFT calculation (PBE with a Hubbard U) of NaYWO5 after structural relaxation.

The value obtained for the total energy is -117.7 eV/cell. The magnetic moment is 0.00 μB/atom. As for the crystal system: monoclinic. Its space-group type is C2/c (15). The value obtained for the density of states at the Fermi level is 0.000 states/eV per cell.

Lattice parameters (Å, degrees): 6.2908 6.2908 8.0069 102.66 102.66 110.57
Atoms (fractional coordinates):
1 Na 0.2089 0.7911 0.7500
2 Na 0.7911 0.2089 0.2500
3 Y 0.5000 0.5000 0.0000
4 Y 0.5000 0.5000 0.5000
5 W 0.1938 0.8062 0.2500
6 W 0.8062 0.1938 0.7500
7 O 0.0847 0.2689 0.9236
8 O 0.1683 0.5734 0.3561
9 O 0.2689 0.0847 0.4236
10 O 0.4230 0.5770 0.7500
11 O 0.4266 0.8317 0.1439
12 O 0.5734 0.1683 0.8561
13 O 0.5770 0.4230 0.2500
14 O 0.7311 0.9153 0.5764
15 O 0.8317 0.4266 0.6439
16 O 0.9153 0.7311 0.0764